Record 1
This record from Alexandria via LeMat-Bulk describes a geometry-optimized TmCuSn2 structure. The functional is PBE.

```
8
Lattice="-3.881 1.009 -1.764 -1.831 -3.388 2.090 -1.856 5.441 7.193" Properties=species:S:1:pos:R:3 pbc="T T T"
Tm -1.346 -0.432 2.713
Tm -3.366 4.683 4.643
Cu -2.856 -1.189 0.163
Cu 0.000 0.000 0.000
Sn -2.260 1.441 0.355
Sn -2.452 2.811 7.001
Sn -0.928 2.720 3.597
Sn -3.784 1.531 3.759
```

Computed properties:
As for the total energy: -4.57 eV/atom. Its space group is P4/nmm. For the density of states at the Fermi level, the calculation gives 3.9 states/eV per cell. The value obtained for the energy of formation is -0.429 eV per atom.

=====

Record 2
This record from Alexandria via LeMat-Bulk describes a geometry-optimized Tm2CuSn structure. The functional is PBE.

```
4
Lattice="3.607 0.000 0.000 1.804 3.124 0.000 1.804 1.041 9.858" Properties=species:S:1:pos:R:3 pbc="T T T"
Tm 1.804 1.041 6.779
Tm 5.411 3.124 3.079
Sn 0.000 0.000 0.000
Cu 3.607 2.083 4.929
```

Computed properties:
As for the total energy: -4.18 eV/atom. Its space group is R-3m. For the density of states at the Fermi level, the calculation gives 3.6 states/eV per cell. The value obtained for the energy of formation is 0.082 eV per atom.

=====

Record 3
This record from Alexandria via LeMat-Bulk describes a geometry-optimized TmCu9Sn2 structure. The functional is PBE.

```
24
Lattice="4.973 0.000 0.000 0.000 8.466 0.000 0.000 0.000 8.466" Properties=species:S:1:pos:R:3 pbc="T T T"
Tm 0.000 4.233 4.233
Tm 0.000 0.000 0.000
Cu 2.487 4.233 0.000
Cu 2.487 0.000 4.233
Cu 2.487 5.935 4.780
Cu 2.487 2.531 3.687
Cu 2.487 1.702 7.920
Cu 2.487 6.764 0.546
Cu 2.487 3.687 5.935
Cu 2.487 4.780 2.531
Cu 2.487 0.546 1.702
Cu 2.487 7.920 6.764
Cu 3.749 7.002 2.769
Cu 3.749 1.464 5.697
Cu 3.749 2.769 1.464
Cu 3.749 5.697 7.002
Cu 1.224 1.464 5.697
Cu 1.224 7.002 2.769
Cu 1.224 5.697 7.002
Cu 1.224 2.769 1.464
Sn 0.000 5.331 1.098
Sn 0.000 3.135 7.369
Sn 0.000 1.098 3.135
Sn 0.000 7.369 5.331
```

Computed properties:
As for the total energy: -4.26 eV/atom. Its space group is P4/mbm. For the density of states at the Fermi level, the calculation gives 7.0 states/eV per cell. The value obtained for the energy of formation is -0.145 eV per atom. Its energy above the lowest structure with this stoichiometry is 0.000 eV/atom.

=====

Record 4
This record from Alexandria via LeMat-Bulk describes a geometry-optimized Tm6CuSn structure. The functional is PBE.

```
8
Lattice="7.224 0.010 0.020 3.605 6.258 0.020 3.597 2.081 5.267" Properties=species:S:1:pos:R:3 pbc="T T T"
Tm 4.537 4.355 4.025
Tm 8.386 1.768 4.032
Tm 5.721 1.955 1.267
Tm 6.039 6.581 1.275
Tm 9.887 3.994 1.282
Tm 8.704 6.393 4.040
Cu 0.000 0.000 0.000
Sn 7.212 4.174 2.654
```

Computed properties:
As for the total energy: -4.31 eV/atom. Its space group is R-3. For the density of states at the Fermi level, the calculation gives 8.6 states/eV per cell. The value obtained for the energy of formation is 0.053 eV per atom.

=====

Record 5
This record from Alexandria via LeMat-Bulk describes a geometry-optimized TmCu9Sn2 structure. The functional is PBE.

```
12
Lattice="5.049 0.000 0.000 2.525 4.373 0.000 2.525 1.458 8.193" Properties=species:S:1:pos:R:3 pbc="T T T"
Tm 0.000 0.000 0.000
Cu 5.049 2.915 0.009
Cu 5.049 2.915 8.184
Cu 5.049 2.915 4.096
Cu 3.779 2.182 2.033
Cu 6.320 2.182 2.033
Cu 5.049 4.383 2.033
Cu 6.320 3.649 6.160
Cu 5.049 1.448 6.160
Cu 3.779 3.649 6.160
Sn 7.574 4.373 3.385
Sn 2.525 1.458 4.808
```

Computed properties:
As for the total energy: -4.22 eV/atom. Its space group is R-3m. For the density of states at the Fermi level, the calculation gives 6.2 states/eV per cell. The value obtained for the energy of formation is -0.112 eV per atom. Its energy above the lowest structure with this stoichiometry is 0.034 eV/atom.

=====

Record 6
This record from Alexandria via LeMat-Bulk describes a geometry-optimized TmCuSn2 structure. The functional is PBE.

```
4
Lattice="3.406 0.000 0.000 1.703 2.949 0.000 1.703 0.983 9.224" Properties=species:S:1:pos:R:3 pbc="T T T"
Tm 3.406 1.966 4.612
Sn 5.108 2.949 7.256
Sn 1.703 0.983 1.967
Cu 0.000 0.000 0.000
```

Computed properties:
As for the total energy: -4.20 eV/atom. Its space group is R-3m. For the density of states at the Fermi level, the calculation gives 3.8 states/eV per cell. The value obtained for the energy of formation is -0.056 eV per atom.

=====

Record 7
This record from Alexandria via LeMat-Bulk describes a geometry-optimized Tm2CuSn structure. The functional is PBE.

```
4
Lattice="-2.163 0.003 -2.687 -1.830 -2.527 1.470 -4.377 5.223 3.529" Properties=species:S:1:pos:R:3 pbc="T T T"
Tm -3.395 4.051 2.737
Tm -0.982 1.172 0.792
Sn -4.185 1.349 1.156
Cu -1.996 -1.262 -0.608
```

Computed properties:
As for the total energy: -4.68 eV/atom. Its space group is P4/mmm. For the density of states at the Fermi level, the calculation gives 2.6 states/eV per cell. The value obtained for the energy of formation is -0.420 eV per atom.

=====

Record 8
This record from Alexandria via LeMat-Bulk describes a geometry-optimized TmCu2Sn structure. The functional is PBE.

```
4
Lattice="3.915 0.000 0.000 0.000 4.378 0.000 0.000 0.000 4.378" Properties=species:S:1:pos:R:3 pbc="T T T"
Tm 1.958 2.189 2.189
Sn 1.958 0.000 0.000
Cu 0.000 0.000 2.189
Cu 0.000 2.189 0.000
```

Computed properties:
As for the total energy: -4.39 eV/atom. Its space group is P4/mmm. For the density of states at the Fermi level, the calculation gives 2.0 states/eV per cell. The value obtained for the energy of formation is -0.222 eV per atom.

=====

Copy entry 3 word for word.
This record from Alexandria via LeMat-Bulk describes a geometry-optimized TmCu9Sn2 structure. The functional is PBE.

```
24
Lattice="4.973 0.000 0.000 0.000 8.466 0.000 0.000 0.000 8.466" Properties=species:S:1:pos:R:3 pbc="T T T"
Tm 0.000 4.233 4.233
Tm 0.000 0.000 0.000
Cu 2.487 4.233 0.000
Cu 2.487 0.000 4.233
Cu 2.487 5.935 4.780
Cu 2.487 2.531 3.687
Cu 2.487 1.702 7.920
Cu 2.487 6.764 0.546
Cu 2.487 3.687 5.935
Cu 2.487 4.780 2.531
Cu 2.487 0.546 1.702
Cu 2.487 7.920 6.764
Cu 3.749 7.002 2.769
Cu 3.749 1.464 5.697
Cu 3.749 2.769 1.464
Cu 3.749 5.697 7.002
Cu 1.224 1.464 5.697
Cu 1.224 7.002 2.769
Cu 1.224 5.697 7.002
Cu 1.224 2.769 1.464
Sn 0.000 5.331 1.098
Sn 0.000 3.135 7.369
Sn 0.000 1.098 3.135
Sn 0.000 7.369 5.331
```

Computed properties:
As for the total energy: -4.26 eV/atom. Its space group is P4/mbm. For the density of states at the Fermi level, the calculation gives 7.0 states/eV per cell. The value obtained for the energy of formation is -0.145 eV per atom. Its energy above the lowest structure with this stoichiometry is 0.000 eV/atom.

=====

Question: What is the energy of formation in the second record?
Answer: 0.082 eV per atom

=====

Question: Which value of energy of formation does entry 5 give?
Answer: -0.112 eV per atom